Record 1
DFT (GGA-PBEsol) results for ReMoW2 after structural relaxation.

The structure in POSCAR format:
```
ReMoW2
1.0
3.1264 0.0000 0.0000
0.0000 4.4192 0.0000
0.0000 0.0000 8.8634
Re Mo W
2 2 4
Cartesian
0.0000 0.0000 0.0000 Re
1.5632 2.2096 4.4317 Re
0.0000 2.2096 6.6881 Mo
1.5632 0.0000 2.2564 Mo
0.0000 0.0000 4.4512 W
0.0000 2.2096 2.2050 W
1.5632 0.0000 6.6367 W
1.5632 2.2096 0.0195 W
```

Results
The value obtained for the energy above the most stable polymorph in this dataset is 7 kJ/mol of formula units. The formation energy comes out at 0.0331 eV per atom. The calculated density is 17623 kg/m3. For the total energy, the calculation gives -13.1457 eV per atom.

---

Record 2
DFT (GGA-PBEsol) results for NbAl3 after structural relaxation.

The structure in POSCAR format:
```
NbAl3
1.0
3.8686 0.0000 0.0000
0.0000 3.8686 0.0000
0.0000 0.0000 16.7391
Nb Al
4 12
Cartesian
0.0000 0.0000 2.0560 Nb
0.0000 0.0000 14.6830 Nb
1.9343 1.9343 6.3135 Nb
1.9343 1.9343 10.4256 Nb
0.0000 0.0000 6.3218 Al
0.0000 0.0000 10.4172 Al
0.0000 1.9343 0.0000 Al
0.0000 1.9343 4.1848 Al
0.0000 1.9343 8.3695 Al
0.0000 1.9343 12.5543 Al
1.9343 0.0000 0.0000 Al
1.9343 0.0000 4.1848 Al
1.9343 0.0000 8.3695 Al
1.9343 0.0000 12.5543 Al
1.9343 1.9343 2.0477 Al
1.9343 1.9343 14.6914 Al
```

Results
The formation energy comes out at -0.3529 eV per atom. The calculated density is 4609 kg/m3. For the total energy, the calculation gives -6.1269 eV per atom.

---

Record 3
DFT (GGA-PBEsol) results for PrBi2ClO4 after structural relaxation.

The structure in POSCAR format:
```
PrBi2ClO4
1.0
3.9205 0.0000 0.0000
0.0000 3.9205 0.0000
0.0000 0.0000 8.9563
Pr Bi Cl O
1 2 1 4
Cartesian
0.0000 0.0000 0.0000 Pr
1.9603 1.9603 2.5689 Bi
1.9603 1.9603 6.3874 Bi
0.0000 0.0000 4.4781 Cl
0.0000 1.9603 1.4774 O
0.0000 1.9603 7.4789 O
1.9603 0.0000 1.4774 O
1.9603 0.0000 7.4789 O
```

Results
The calculated density is 7941 kg/m3. Its uncorrected formation energy is -1.9960 eV/atom. For the total energy, the calculation gives -6.5911 eV per atom.

---

Record 4
DFT (GGA-PBEsol) results for TlRuRh after structural relaxation.

The structure in POSCAR format:
```
TlRuRh
1.0
4.4530 0.0000 0.0000
-2.2265 3.8564 0.0000
0.0000 0.0000 2.8426
Tl Ru Rh
1 1 1
Cartesian
0.0000 0.0000 0.0000 Tl
2.2265 1.2855 1.8395 Ru
0.0000 2.5709 0.7166 Rh
```

Results
The formation energy comes out at 0.6101 eV per atom. The calculated density is 13891 kg/m3. For the total energy, the calculation gives -6.3702 eV per atom.

---

Record 5
DFT (GGA-PBEsol) results for Si3BF after structural relaxation.

The structure in POSCAR format:
```
Si3BF
1.0
4.2757 0.0000 0.0000
0.0000 4.2757 0.0000
0.0000 0.0000 4.2757
Si B F
3 1 1
Cartesian
0.0000 0.0000 2.1378 Si
0.0000 2.1378 0.0000 Si
2.1378 0.0000 0.0000 Si
2.1378 2.1378 2.1378 B
0.0000 0.0000 0.0000 F
```

Results
The calculated density is 2423 kg/m3. Its uncorrected formation energy is 1.1519 eV/atom. For the total energy, the calculation gives -4.0849 eV per atom.

---

Record 6
DFT (GGA-PBEsol) results for NaMoO2 after structural relaxation.

The structure in POSCAR format:
```
NaMoO2
1.0
2.8237 0.0000 0.0000
-1.4118 2.4454 0.0000
0.0000 0.0000 17.7222
Na Mo O
3 3 6
Cartesian
0.0000 0.0000 0.0000 Na
0.0000 1.6303 11.8148 Na
1.4118 0.8151 5.9074 Na
0.0000 0.0000 8.8611 Mo
0.0000 1.6303 2.9537 Mo
1.4118 0.8151 14.7685 Mo
0.0000 0.0000 4.3070 O
0.0000 0.0000 13.4153 O
0.0000 1.6303 7.5079 O
0.0000 1.6303 16.1218 O
1.4118 0.8151 1.6004 O
1.4118 0.8151 10.2144 O
```

Results
The value obtained for the energy above the most stable polymorph in this dataset is 0 kJ/mol of formula units. The calculated density is 6144 kg/m3. Its uncorrected formation energy is -1.7061 eV/atom. For the total energy, the calculation gives -7.6227 eV per atom.

---

Record 7
DFT (GGA-PBEsol) results for KYNi after structural relaxation.

The structure in POSCAR format:
```
KYNi
1.0
6.8324 0.0000 0.0000
0.0000 6.8324 0.0000
0.0000 0.0000 6.8324
K Y Ni
4 4 4
Cartesian
0.0000 0.0000 0.0000 K
0.0000 3.4162 3.4162 K
3.4162 0.0000 3.4162 K
3.4162 3.4162 0.0000 K
0.0000 0.0000 3.4162 Y
0.0000 3.4162 0.0000 Y
3.4162 0.0000 0.0000 Y
3.4162 3.4162 3.4162 Y
1.7081 1.7081 1.7081 Ni
1.7081 5.1243 5.1243 Ni
5.1243 1.7081 5.1243 Ni
5.1243 5.1243 1.7081 Ni
```

Results
The formation energy comes out at 0.5781 eV per atom. The calculated density is 3888 kg/m3. For the total energy, the calculation gives -4.1262 eV per atom.

---

Record 8
DFT (GGA-PBEsol) results for Ca2TlSiW after structural relaxation.

The structure in POSCAR format:
```
Ca2TlSiW
1.0
5.5007 0.0000 0.0000
0.0000 5.5007 0.0000
0.0000 0.0000 5.0001
Ca Tl Si W
2 1 1 1
Cartesian
0.0000 2.7504 0.0000 Ca
2.7504 0.0000 0.0000 Ca
0.0000 0.0000 2.5000 Tl
0.0000 0.0000 0.0000 Si
2.7504 2.7504 2.5000 W
```

Results
The calculated density is 5449 kg/m3. Its uncorrected formation energy is 1.1988 eV/atom. For the total energy, the calculation gives -4.0913 eV per atom.

---

Record 9
DFT (GGA-PBEsol) results for YSc2Rh after structural relaxation.

The structure in POSCAR format:
```
YSc2Rh
1.0
3.3782 0.0000 0.0000
-1.6891 2.9256 0.0000
0.0000 0.0000 27.6459
Y Sc Rh
3 6 3
Cartesian
0.0000 0.0000 0.0000 Y
0.0000 1.9504 18.4306 Y
1.6891 0.9752 9.2153 Y
0.0000 0.0000 6.3326 Sc
0.0000 0.0000 21.3133 Sc
0.0000 1.9504 12.0980 Sc
0.0000 1.9504 24.7632 Sc
1.6891 0.9752 2.8827 Sc
1.6891 0.9752 15.5479 Sc
0.0000 0.0000 13.8229 Rh
0.0000 1.9504 4.6077 Rh
1.6891 0.9752 23.0382 Rh
```

Results
The value obtained for the energy above the most stable polymorph in this dataset is 85 kJ/mol of formula units. The formation energy comes out at -0.2483 eV per atom. The calculated density is 5136 kg/m3. For the total energy, the calculation gives -7.2910 eV per atom.

---

Record 10
DFT (GGA-PBEsol) results for FeSi2Au after structural relaxation.

The structure in POSCAR format:
```
FeSi2Au
1.0
3.8541 0.0000 0.0000
0.0000 3.8541 0.0000
0.0000 0.0000 7.0583
Fe Si Au
2 4 2
Cartesian
0.0000 0.0000 0.0000 Fe
1.9270 1.9270 3.5291 Fe
0.0000 1.9270 1.7646 Si
0.0000 1.9270 5.2937 Si
1.9270 0.0000 1.7646 Si
1.9270 0.0000 5.2937 Si
0.0000 0.0000 3.5291 Au
1.9270 1.9270 0.0000 Au
```

Results
The calculated density is 9787 kg/m3. Its uncorrected formation energy is 0.1305 eV/atom. For the total energy, the calculation gives -5.9647 eV per atom.

---

Record 11
DFT (GGA-PBEsol) results for Y2HgRu after structural relaxation.

The structure in POSCAR format:
```
Y2HgRu
1.0
3.4102 0.0000 0.0000
0.0000 3.4102 0.0000
0.0000 0.0000 7.4835
Y Hg Ru
2 1 1
Cartesian
0.0000 0.0000 1.6331 Y
0.0000 0.0000 5.8504 Y
1.7051 1.7051 3.7417 Hg
1.7051 1.7051 0.0000 Ru
```

Results
The formation energy comes out at -0.4832 eV per atom. The calculated density is 9149 kg/m3. For the total energy, the calculation gives -6.5791 eV per atom.

---

Record 12
DFT (GGA-PBEsol) results for Zr2AlW after structural relaxation.

The structure in POSCAR format:
```
Zr2AlW
1.0
2.9063 0.0000 0.0000
-1.4531 2.5169 0.0000
0.0000 0.0000 30.4244
Zr Al W
6 3 3
Cartesian
0.0000 0.0000 7.5630 Zr
0.0000 0.0000 22.8614 Zr
0.0000 1.6780 12.7199 Zr
0.0000 1.6780 27.8459 Zr
1.4532 0.8390 2.5785 Zr
1.4532 0.8390 17.7045 Zr
0.0000 0.0000 15.2122 Al
0.0000 1.6780 5.0707 Al
1.4532 0.8390 25.3536 Al
0.0000 0.0000 0.0000 W
0.0000 1.6780 20.2829 W
1.4532 0.8390 10.1414 W
```

Results
The formation energy comes out at 0.1469 eV per atom. The calculated density is 8803 kg/m3. For the total energy, the calculation gives -8.8728 eV per atom.

---

- What is the total energy in the sixth record?
  -7.6227 eV per atom

---

- Look up the total energy of the sixth one.
  -7.6227 eV per atom

---

Repeat the second record exactly.
DFT (GGA-PBEsol) results for NbAl3 after structural relaxation.

The structure in POSCAR format:
```
NbAl3
1.0
3.8686 0.0000 0.0000
0.0000 3.8686 0.0000
0.0000 0.0000 16.7391
Nb Al
4 12
Cartesian
0.0000 0.0000 2.0560 Nb
0.0000 0.0000 14.6830 Nb
1.9343 1.9343 6.3135 Nb
1.9343 1.9343 10.4256 Nb
0.0000 0.0000 6.3218 Al
0.0000 0.0000 10.4172 Al
0.0000 1.9343 0.0000 Al
0.0000 1.9343 4.1848 Al
0.0000 1.9343 8.3695 Al
0.0000 1.9343 12.5543 Al
1.9343 0.0000 0.0000 Al
1.9343 0.0000 4.1848 Al
1.9343 0.0000 8.3695 Al
1.9343 0.0000 12.5543 Al
1.9343 1.9343 2.0477 Al
1.9343 1.9343 14.6914 Al
```

Results
The formation energy comes out at -0.3529 eV per atom. The calculated density is 4609 kg/m3. For the total energy, the calculation gives -6.1269 eV per atom.

---

- calculated density of number 9 (YSc2Rh)?
  5136 kg/m3